(1)
NaZrC2 after structural relaxation. Source: Alexandria via LeMat-Bulk, functional PBE.

abc: 4.9141 4.9141 7.4598
angles: 70.77 70.77 90.00
Positions (direct):
C 0.3750 0.2615 0.7500
Na 0.5000 0.5000 0.0000
Zr 0.0000 0.0000 0.0000
C 0.8750 0.9885 0.7500
C 0.7385 0.1250 0.2500
C 0.0115 0.6250 0.2500
Zr 0.7500 0.2500 0.5000
Na 0.2500 0.7500 0.5000

Space-group type: I-42d (122)
ΔH_f (0 K), eV per atom: 1.198
Theoretical density, g/cm³: 2.9
Electronic total energy, eV per atom: -5.88

(2)
NaZrC2 after structural relaxation. Source: Alexandria via LeMat-Bulk, functional PBE.

abc: 4.0915 4.0915 4.0915
angles: 60.00 60.00 60.00
Positions (direct):
Zr 0.5000 0.5000 0.5000
C 0.2500 0.2500 0.2500
C 0.7500 0.7500 0.7500
Na 0.0000 0.0000 0.0000

Space-group type: Fm-3m (225)
ΔH_f (0 K), eV per atom: 1.152
Theoretical density, g/cm³: 4.7
Electronic total energy, eV per atom: -5.93

(3)
NbC4 after structural relaxation. Source: Alexandria via LeMat-Bulk, functional PBE.

abc: 4.2029 4.2029 4.2029
angles: 90.00 90.00 90.00
Last column: magnetic moment on the atom in μB.
Positions (direct):
Nb 0.5000 0.5000 0.5000  0.01
C 0.0000 0.0000 0.0000  0.49
C 0.5000 0.5000 0.0000  0.00
C 0.5000 0.0000 0.5000  0.00
C 0.0000 0.5000 0.5000  0.00

Space-group type: Pm-3m (221)
ΔH_f (0 K), eV per atom: 3.417
Theoretical density, g/cm³: 3.2
Electronic total energy, eV per atom: -5.98

(4)
Nb4C3 after structural relaxation. Source: Alexandria via LeMat-Bulk, functional PBE.

abc: 4.4691 4.4691 4.4691
angles: 90.00 90.00 90.00
Positions (direct):
Nb 0.0000 0.0000 0.5000
C 0.0000 0.5000 0.5000
C 0.5000 0.5000 0.0000
Nb 0.5000 0.5000 0.5000
Nb 0.0000 0.5000 0.0000
Nb 0.5000 0.0000 0.0000
C 0.5000 0.0000 0.5000

Space-group type: Pm-3m (221)
ΔH_f (0 K), eV per atom: -0.380
Theoretical density, g/cm³: 7.6
Electronic total energy, eV per atom: -10.09

(5)
Nb4C3 after structural relaxation. Source: Alexandria via LeMat-Bulk, functional PBE.

abc: 10.4310 10.4310 10.4310
angles: 17.45 17.45 17.45
Positions (direct):
Nb 0.6228 0.6228 0.6228
C 0.2473 0.2473 0.2473
C 0.7527 0.7527 0.7527
Nb 0.3772 0.3772 0.3772
Nb 0.8756 0.8756 0.8756
Nb 0.1244 0.1244 0.1244
C 0.0000 0.0000 0.0000

Space-group type: R-3m (166)
ΔH_f (0 K), eV per atom: -0.486
Theoretical density, g/cm³: 7.6
Electronic total energy, eV per atom: -10.19

(6)
Nb4C3 after structural relaxation. Source: Alexandria via LeMat-Bulk, functional PBE.

abc: 10.4894 10.4894 10.4894
angles: 17.29 17.29 17.29
Positions (direct):
C 0.9959 0.9959 0.9959
C 0.5031 0.5031 0.5031
Nb 0.3733 0.3733 0.3733
Nb 0.2089 0.2089 0.2089
C 0.0844 0.0844 0.0844
Nb 0.7945 0.7945 0.7945
Nb 0.6249 0.6249 0.6249

Space-group type: R3m (160)
ΔH_f (0 K), eV per atom: -0.450
Theoretical density, g/cm³: 7.6
Electronic total energy, eV per atom: -10.16

(7)
Nb4C3 after structural relaxation. Source: Alexandria via LeMat-Bulk, functional PBE.

abc: 3.1638 5.4889 6.0079
angles: 116.26 105.27 90.00
Positions (direct):
Nb 0.8729 0.5451 0.7459
C 0.0000 0.0000 0.0000
C 0.7364 0.7312 0.4727
Nb 0.6288 0.9731 0.2575
Nb 0.1271 0.4549 0.2541
Nb 0.3712 0.0269 0.7425
C 0.2636 0.2688 0.5273

Space-group type: C2/m (12)
ΔH_f (0 K), eV per atom: -0.472
Theoretical density, g/cm³: 7.6
Electronic total energy, eV per atom: -10.18

(8)
Nb3C2 after structural relaxation. Source: Alexandria via LeMat-Bulk, functional PBE.

abc: 5.5022 5.5022 5.9590
angles: 62.50 62.50 60.00
Positions (direct):
Nb 0.4257 0.0743 0.7500
C 0.6592 0.6592 0.0223
Nb 0.9257 0.2500 0.2500
C 0.8408 0.8408 0.4777
Nb 0.5743 0.9257 0.2500
Nb 0.2500 0.5743 0.2500
Nb 0.7500 0.4257 0.7500
Nb 0.0743 0.7500 0.7500
C 0.3408 0.3408 0.9777
C 0.1592 0.1592 0.5223

Space-group type: R-3c (167)
ΔH_f (0 K), eV per atom: -0.499
Theoretical density, g/cm³: 7.6
Electronic total energy, eV per atom: -10.23

(9)
Nb3C2 after structural relaxation. Source: Alexandria via LeMat-Bulk, functional PBE.

abc: 5.4678 5.4678 9.9870
angles: 100.39 100.39 109.93
Positions (direct):
Nb 0.0060 0.5060 0.5000
C 0.7507 0.7507 0.5015
Nb 0.4096 0.4219 0.3380
C 0.9180 0.9180 0.8361
C 0.3320 0.8320 0.6639
Nb 0.1661 0.6784 0.8380
Nb 0.3216 0.8339 0.1620
C 0.4993 0.9993 0.9985
C 0.1680 0.6680 0.3361
C 0.0007 0.5007 0.0015
C 0.2493 0.2493 0.4985
Nb 0.0839 0.0716 0.6620
C 0.0820 0.0820 0.1639
Nb 0.2440 0.2440 0.0000
Nb 0.8404 0.3281 0.1620
Nb 0.4940 0.9940 0.5000
Nb 0.9284 0.9161 0.3380
Nb 0.7560 0.7560 0.0000
Nb 0.5781 0.5904 0.6620
Nb 0.6719 0.1596 0.8380

Space-group type: Fddd (70)
ΔH_f (0 K), eV per atom: -0.520
Theoretical density, g/cm³: 7.5
Electronic total energy, eV per atom: -10.25

(10)
Nd2Nb2C3 after structural relaxation. Source: Alexandria via LeMat-Bulk, functional PBE.

abc: 3.4906 5.9987 6.3882
angles: 110.59 105.86 90.00
Positions (direct):
Nb 0.8466 0.6727 0.6933
Nb 0.1534 0.3273 0.3067
C 0.2544 0.7240 0.5087
Nd 0.3923 0.1749 0.7847
C 0.0000 0.0000 0.0000
Nd 0.6077 0.8251 0.2153
C 0.7456 0.2760 0.4913

Space-group type: C2/m (12)
ΔH_f (0 K), eV per atom: -0.284
Theoretical density, g/cm³: 7.1
Electronic total energy, eV per atom: -8.48

(11)
NdNbC2 after structural relaxation. Source: Alexandria via LeMat-Bulk, functional PBE.

abc: 3.6768 5.8776 11.2046
angles: 90.00 90.00 90.00
Positions (direct):
Nd 0.7500 0.5845 0.3592
C 0.2500 0.3510 0.2500
C 0.2500 0.2934 0.9750
C 0.7500 0.7066 0.0250
C 0.7500 0.2066 0.4750
Nb 0.7500 0.9119 0.6060
C 0.2500 0.8510 0.2500
C 0.7500 0.6490 0.7500
Nb 0.2500 0.5881 0.1060
Nd 0.7500 0.0845 0.1408
C 0.7500 0.1490 0.7500
Nd 0.2500 0.9155 0.8592
C 0.2500 0.7934 0.5250
Nb 0.7500 0.4119 0.8940
Nb 0.2500 0.0881 0.3940
Nd 0.2500 0.4155 0.6408

Space-group type: Pnma (62)
ΔH_f (0 K), eV per atom: -0.250
Theoretical density, g/cm³: 7.2
Electronic total energy, eV per atom: -8.57

(12)
NdNbC2 after structural relaxation. Source: Alexandria via LeMat-Bulk, functional PBE.

abc: 3.3755 3.3755 6.1308
angles: 74.02 74.02 60.00
Positions (direct):
Nb 0.0000 0.0000 0.0000
C 0.2645 0.2645 0.2065
C 0.7355 0.7355 0.7935
Nd 0.5000 0.5000 0.5000

Space-group type: R-3m (166)
ΔH_f (0 K), eV per atom: -0.176
Theoretical density, g/cm³: 7.6
Electronic total energy, eV per atom: -8.50